Entry 1:
The following is a DFT calculation (GGA-PBE) of a geometry-optimized Ba2SrIrC structure.

```
5
Lattice="5.401 0.000 0.000 0.000 5.401 0.000 0.000 0.000 5.302" Properties=species:S:1:pos:R:3 pbc="T T T"
Ba 0.000 2.700 0.000
Ba 2.700 0.000 0.000
Sr 0.000 0.000 2.651
Ir 2.700 2.700 2.651
C 0.000 0.000 0.000
```

Output
Its space group is P4/mmm, No. 123.

Entry 2:
The following is a DFT calculation (GGA-PBE) of a geometry-optimized Ba2TcIrC structure.

```
5
Lattice="5.930 0.000 0.000 0.000 5.930 0.000 0.000 0.000 4.609" Properties=species:S:1:pos:R:3 pbc="T T T"
Ba 0.000 2.965 0.000
Ba 2.965 0.000 0.000
Tc 0.000 0.000 0.000
Ir 0.000 0.000 2.304
C 2.965 2.965 2.304
```

Output
Its space group is P4/mmm, No. 123.

Entry 3:
The following is a DFT calculation (GGA-PBE) of a geometry-optimized Ba2ZnIrC structure.

```
5
Lattice="5.903 0.000 0.000 0.000 5.903 0.000 0.000 0.000 3.904" Properties=species:S:1:pos:R:3 pbc="T T T"
Ba 0.000 2.951 0.000
Ba 2.951 0.000 0.000
Zn 0.000 0.000 1.952
Ir 2.951 2.951 1.952
C 2.951 2.951 0.000
```

Output
Its space group is P4/mmm, No. 123.

Entry 4:
The following is a DFT calculation (GGA-PBE) of a geometry-optimized K3BaC structure.

```
5
Lattice="7.962 0.000 0.000 0.000 7.962 0.000 0.000 0.000 7.962" Properties=species:S:1:pos:R:3 pbc="T T T"
K 0.000 0.000 3.981
K 0.000 3.981 0.000
K 3.981 0.000 0.000
Ba 0.000 0.000 0.000
C 3.981 3.981 3.981
```

Output
Its space group is Pm-3m, No. 221.

Entry 5:
The following is a DFT calculation (GGA-PBE) of a geometry-optimized KBaC3 structure.

```
5
Lattice="5.192 0.000 0.000 0.000 5.192 0.000 0.000 0.000 5.192" Properties=species:S:1:pos:R:3 pbc="T T T"
K 0.000 0.000 0.000
Ba 2.596 2.596 2.596
C 0.000 0.000 2.596
C 0.000 2.596 0.000
C 2.596 0.000 0.000
```

Output
Its space group is Pm-3m, No. 221.

Entry 6:
The following is a DFT calculation (GGA-PBE) of a geometry-optimized K3BaC structure.

```
5
Lattice="6.232 0.000 0.000 0.000 6.232 0.000 0.000 0.000 6.232" Properties=species:S:1:pos:R:3 pbc="T T T"
K 0.000 0.000 3.116
K 0.000 3.116 0.000
K 3.116 0.000 0.000
Ba 3.116 3.116 3.116
C 0.000 0.000 0.000
```

Output
Its space group is Pm-3m, No. 221.

Formation energy, respectively: 0.650; 1.501; -0.079; 2.077; 3.122; 0.989 eV/atom.